A relaxed K4Rb16Au3 crystal, computed with PBE.

Cell lengths 9.205, 9.205, 19.219 Å; angles 90.00, 90.00, 90.00 degrees
Space group P4/mmm (No. 123)
Asymmetric unit:
K  0.000  0.500  0.198
Rb  0.000  0.000  0.183
Rb  0.248  0.248  0.395
Rb  0.257  0.257  0.000
Rb  0.500  0.500  0.201
Au  0.000  0.000  0.000
Au  0.000  0.500  0.500

Output
**Calculated formation energy**: -122.6 kJ/mol of formula units